Record 1
A plane-wave DFT calculation with meta-GGA SCAN was carried out for a PBEsol-optimized structure of BaPtPb.

Cell lengths 5.051, 5.051, 5.051 Å; angles 60.00, 60.00, 60.00 degrees
Atoms (fractional coordinates):
Ba (0.000, 0.000, 0.000)
Pt (0.250, 0.250, 0.250)
Pb (0.500, 0.500, 0.500)

## Properties
SG = F-43m, No. 216
ΔH_f (0 K) = -0.472 eV per atom
Uncorrected energy = -62.3133 eV/atom

Record 2
A plane-wave DFT calculation with meta-GGA SCAN was carried out for a PBEsol-optimized structure of Ti2P.

Cell lengths 6.553, 6.553, 3.462 Å; angles 90.00, 90.00, 120.00 degrees
Atoms (fractional coordinates):
Ti (0.000, 0.408, 0.000)
Ti (0.000, 0.745, 0.500)
Ti (0.255, 0.255, 0.500)
Ti (0.408, 0.000, 0.000)
Ti (0.592, 0.592, 0.000)
Ti (0.745, 0.000, 0.500)
P (0.000, 0.000, 0.000)
P (0.333, 0.667, 0.500)
P (0.667, 0.333, 0.500)

## Properties
SG = P-62m, No. 189
ΔH_f (0 K) = -1.148 eV per atom
Uncorrected energy = -15.3012 eV/atom

Record 3
A plane-wave DFT calculation with meta-GGA SCAN was carried out for a PBEsol-optimized structure of LaTlPt2.

Cell lengths 4.220, 5.579, 5.579 Å; angles 41.85, 90.00, 90.00 degrees
Atoms (fractional coordinates):
La (0.000, 0.000, 0.000)
Tl (0.500, 0.291, 0.291)
Pt (0.000, 0.728, 0.728)
Pt (0.500, 0.562, 0.562)

## Properties
SG = Amm2, No. 38
ΔH_f (0 K) = -0.849 eV per atom
Uncorrected energy = -64.8119 eV/atom

Record 4
A plane-wave DFT calculation with meta-GGA SCAN was carried out for a PBEsol-optimized structure of Nb2CoCF.

Cell lengths 4.218, 4.218, 3.501 Å; angles 90.00, 90.00, 90.00 degrees
Atoms (fractional coordinates):
Nb (0.000, 0.500, 0.000)
Nb (0.500, 0.000, 0.000)
Co (0.000, 0.000, 0.500)
C (0.500, 0.500, 0.500)
F (0.000, 0.000, 0.000)

## Properties
SG = P4/mmm, No. 123
Uncorrected energy = -18.4491 eV/atom
Raw formation energy = 95.7 kJ per mole of atoms